# Cu2MoAu (PBE, relaxed)
# energy above the most stable polymorph in this dataset: 100 meV per atom
# VASP energy: -64.06 eV per cell
data_Cu2MoAu
_symmetry_space_group_name_H-M 'R -3 m'
_symmetry_Int_Tables_number 166
_symmetry_space_group_name_Hall '-R 3 2"'
_cell_length_a 2.7859
_cell_length_b 2.7859
_cell_length_c 26.5151
_cell_angle_alpha 90.00
_cell_angle_beta 90.00
_cell_angle_gamma 120.00
loop_
_atom_site_label
_atom_site_fract_x
_atom_site_fract_y
_atom_site_fract_z
_atom_site_occupancy
Cu1 0.0000 0.0000 0.2486 1
Mo1 0.0000 0.0000 0.5000 1
Au1 0.0000 0.0000 0.0000 1